1.
Density functional theory data (PBE) for a geometry-optimized BaLiGa structure.

It has space group C2/m (No. 12), with a = 8.0161 Å, b = 4.6447 Å, c = 11.1551 Å, α = 90.00°, β = 103.78° and γ = 90.00°. The inequivalent atoms are Ba at (0.2329, 0.0000, 0.1932), Li at (0.1556, 0.5000, 0.4661) and Ga at (0.0370, 0.0000, 0.6140).

As for the final energy: -2.556 eV per atom. For the formation energy, the calculation gives -26 kJ per mole of atoms.

=====

2.
Density functional theory data (PBE) for a geometry-optimized Ba2LiGa2 structure.

It has space group P4/mbm (No. 127), with a = 9.1176 Å, b = 9.1176 Å, c = 4.2663 Å, α = 90.00°, β = 90.00° and γ = 90.00°. The inequivalent atoms are Ba at (0.1865, 0.3135, 0.0000), Li at (0.0000, 0.0000, 0.5000) and Ga at (0.1046, 0.6046, 0.5000).

As for the final energy: -2.553 eV per atom. For the formation energy, the calculation gives -18 kJ per mole of atoms.

=====

> What is the formula in the second record?

Ba2LiGa2

=====

> What is the final energy in the first record?

-2.556 eV per atom

=====

> Look up the final energy of the second one.

-2.553 eV per atom